VASP calculation (PBE) on an optimized crystal structure of Nb2InPb.

Summary:
Its density of states at the Fermi level is 4.80 states/eV/f.u. The formation enthalpy at 0 K is 14.756 kcal/mol of atoms. The value obtained for the total energy is -96.11 eV/cell.

Cell: 7.734 7.734 6.018 Å, 90.00 90.00 90.00°
Space group I-42d (No. 122)
One atom of each set of equivalent atoms:
Nb 0.249 0.250 0.125 (multiplicity 8)
In 0.000 0.000 0.000 (multiplicity 4)
Pb 0.000 0.000 0.500 (multiplicity 4)